Entry from Alexandria via LeMat-Bulk: a geometry-optimized NaLiTl5 structure (PBE).

Values from the calculation:
The value obtained for the total energy is -1.9352 eV per atom. The value obtained for the calculated volume is 247.4 Å³ per cell. Its formation energy from the elements is 1.52 eV per formula unit. The value obtained for the energy above the lowest structure with this stoichiometry is 1.97 eV per formula unit.

Cell lengths 5.3635, 7.4906, 7.4906 Å; angles 65.26, 69.02, 69.02 degrees
Last column: nearest neighbours and their distance in Å.
Fractional positions:
Tl  0.5000  0.8130  0.1870  1 Li 2.53
Na  0.0000  0.0000  0.0000  6 Tl 3.00-3.08
Li  0.5000  0.5000  0.5000  6 Tl 2.53-2.71
Tl  0.5000  0.1870  0.8130  1 Li 2.53
Tl  0.7373  0.2627  0.2627  1 Li 2.71, 1 Na 3.00
Tl  0.0000  0.5000  0.5000  2 Li 2.68
Tl  0.2627  0.7373  0.7373  1 Li 2.71, 1 Na 3.00